1.
# Ca3PrPb4, relaxed, DFT GGA-PBE
# Final energy   -3.7164 eV per atom
data_Ca3PrPb4
_cell_length_a 4.595
_cell_length_b 5.114
_cell_length_c 10.308
_cell_angle_alpha 90.00
_cell_angle_beta 90.00
_cell_angle_gamma 90.00
_space_group_name_H-M_alt 'P m m m'
_space_group_IT_number 47
loop_
_space_group_symop_operation_xyz
'x,y,z'
'-x,-y,-z'
'-x,-y,z'
'x,y,-z'
'x,-y,-z'
'-x,y,z'
'-x,y,-z'
'x,-y,z'
loop_
_atom_site_label
_atom_site_fract_x
_atom_site_fract_y
_atom_site_fract_z
Ca1 0.000 0.000 0.000
Ca2 0.000 0.500 0.243
Pr1 0.000 0.000 0.500
Pb1 0.500 0.000 0.249
Pb2 0.500 0.500 0.000
Pb3 0.500 0.500 0.500

=====

2.
# NdSc2AlAu4, relaxed, DFT GGA-PBE
# Final energy   -5.0026 eV per atom
data_NdSc2AlAu4
_cell_length_a 4.7112
_cell_length_b 4.7112
_cell_length_c 26.0055
_cell_angle_alpha 90.00
_cell_angle_beta 90.00
_cell_angle_gamma 120.00
_space_group_name_H-M_alt 'R -3 m'
_space_group_IT_number 166
_space_group_name_Hall '-R 3 2"'
loop_
_atom_site_label
_atom_site_fract_x
_atom_site_fract_y
_atom_site_fract_z
Nd1 0.0000 0.0000 0.0000
Sc1 0.0000 0.0000 0.2387
Al1 0.0000 0.0000 0.5000
Au1 0.0000 0.0000 0.1255
Au2 0.0000 0.0000 0.3966